Here is KBr3 after structural relaxation from Alexandria. Energies are from PBE.

Uncorrected energy = -2.207 eV per atom
N(E_F) = 0.71 states/eV per atom
Uncorrected formation energy = -65 kJ per mole of atoms
Density = 3.2 g cm⁻³

Lattice parameters (Å, degrees): 8.497 8.840 7.715 90.00 90.00 90.00
Space group Cmcm (No. 63)
Inequivalent atoms, fractional coordinates:
K1 0.000 0.175 0.250 (multiplicity 4)
Br1 0.000 0.343 0.750 (multiplicity 4)
Br2 0.239 0.088 0.750 (multiplicity 8)